A geometry-optimized Sm2Cu3 structure. Source: Alexandria, functional PBE.

Cell: 3.7284 4.3255 13.0749 Å, 90.00 98.20 90.00°
Fractional coordinates of all 10 atoms:
Sm 0.4297 0.2500 0.8595
Sm 0.5703 0.7500 0.1405
Sm 0.2971 0.7500 0.5943
Sm 0.7029 0.2500 0.4057
Cu 0.1168 0.2500 0.2337
Cu 0.9774 0.7500 0.9548
Cu 0.1687 0.7500 0.3374
Cu 0.0226 0.2500 0.0452
Cu 0.8832 0.7500 0.7663
Cu 0.8313 0.2500 0.6626

Computed properties:
Fermi-level density of states, states/eV/cell: 8.1
Electronic total energy, eV per atom: -4.56
ΔE_f, meV/atom: -213
V, Å³ per cell: 209